# PBE with a Hubbard U BaCoSO, relaxed
data_BaCoSO
_chemical_formula_sum 'Ba4 Co4 S4 O4'
_space_group_name_H-M_alt 'P c a 21'
_space_group_IT_number 29
_space_group_name_Hall 'P 2c -2ac'
_cell_length_a 6.300
_cell_length_b 8.935
_cell_length_c 6.061
_cell_angle_alpha 90.00
_cell_angle_beta 90.00
_cell_angle_gamma 90.00
loop_
_atom_site_label
_atom_site_fract_x
_atom_site_fract_y
_atom_site_fract_z
Ba1 0.019 0.192 0.000
Co1 0.094 0.574 0.968
S1 0.020 0.835 0.998
O1 0.128 0.539 0.632
# calculated volume	21.324	Å³ per atom
# E_tot	-5.51	eV/atom
# M_tot	3.000	μB/f.u.